Entry 1:
Computed, not measured: an optimized crystal structure of Pm3SbOs at the PBE level of DFT.

Cell lengths 5.457, 5.457, 5.457 Å; angles 90.00, 90.00, 90.00 degrees
Positions (direct):
Os 0.000 0.000 0.000
Pm 0.000 0.500 0.000
Pm 0.000 0.000 0.500
Pm 0.500 0.000 0.000
Sb 0.500 0.500 0.500

M_tot in μB per cell: 0.0
ΔE_f (raw) in kJ/mol of formula units: -97


Entry 2:
Computed, not measured: an optimized crystal structure of AlSb2Se4 at the PBE level of DFT.

Cell lengths 7.512, 6.922, 8.618 Å; angles 90.00, 104.62, 90.00 degrees
Positions (direct):
Sb 0.651 0.750 0.546
Al 0.695 0.250 0.786
Se 0.528 0.493 0.285
Al 0.305 0.750 0.214
Sb 0.349 0.250 0.454
Sb 0.145 0.250 0.917
Se 0.124 0.750 0.939
Se 0.472 0.507 0.715
Se 0.528 0.007 0.285
Se 0.077 0.750 0.366
Se 0.472 0.993 0.715
Sb 0.855 0.750 0.083
Se 0.876 0.250 0.061
Se 0.923 0.250 0.634

M_tot in μB per cell: 0.8
ΔE_f (raw) in kJ/mol of formula units: -223


Entry 3:
Computed, not measured: an optimized crystal structure of Ca3SiP3 at the PBE level of DFT.

Cell lengths 6.048, 9.484, 11.784 Å; angles 90.00, 90.00, 108.60 degrees
Positions (direct):
Ca 0.498 0.356 0.866
Si 0.588 0.176 0.500
P 0.543 0.680 0.381
Si 0.088 0.176 0.000
Ca 0.002 0.644 0.366
Ca 0.678 0.000 0.852
P 0.297 0.000 0.394
P 0.957 0.320 0.881
P 0.203 0.000 0.894
P 0.638 0.680 0.881
Ca 0.322 0.000 0.148
P 0.862 0.320 0.381
Ca 0.998 0.356 0.634
Ca 0.822 0.000 0.352
Ca 0.359 0.356 0.366
Si 0.912 0.824 0.000
Ca 0.641 0.644 0.634
P 0.043 0.680 0.119
Ca 0.502 0.644 0.134
P 0.138 0.680 0.619
Ca 0.141 0.644 0.866
P 0.797 0.000 0.106
Ca 0.859 0.356 0.134
P 0.362 0.320 0.119
Ca 0.178 0.000 0.648
P 0.457 0.320 0.619
Si 0.412 0.824 0.500
P 0.703 0.000 0.606

M_tot in μB per cell: 0.0
ΔE_f (raw) in kJ/mol of formula units: -599


Entry 4:
Computed, not measured: an optimized crystal structure of Y3HoCd4 at the PBE level of DFT.

Cell lengths 5.280, 7.536, 10.560 Å; angles 90.00, 90.00, 90.00 degrees
Positions (direct):
Y 0.000 0.000 0.000
Y 0.500 0.500 0.750
Cd 0.000 0.748 0.250
Y 0.000 0.000 0.500
Cd 0.000 0.748 0.750
Y 0.500 0.500 0.250
Ho 0.000 0.500 0.500
Cd 0.500 0.748 0.000
Cd 0.500 0.748 0.500
Cd 0.500 0.252 0.500
Y 0.500 0.000 0.750
Cd 0.000 0.252 0.250
Cd 0.000 0.252 0.750
Y 0.500 0.000 0.250
Ho 0.000 0.500 0.000
Cd 0.500 0.252 0.000

Formation energy in eV/f.u.: -2.77
M_tot in μB per cell: 0.0


Entry 5:
Computed, not measured: an optimized crystal structure of SbRuPbI2 at the PBE level of DFT.

Cell lengths 5.553, 5.553, 5.049 Å; angles 90.00, 90.00, 90.00 degrees
Positions (direct):
Sb 0.000 0.000 0.500
Ru 0.000 0.000 0.000
I 0.000 0.500 0.000
I 0.500 0.000 0.000
Pb 0.500 0.500 0.500

M_tot in μB per cell: 0.0
Relative energy among the computed polymorphs in kJ per mole of atoms: 0.0
ΔE_f (raw) in kJ/mol of formula units: 161


Entry 6:
Computed, not measured: an optimized crystal structure of BeTlCoCl2 at the PBE level of DFT.

Cell lengths 4.352, 5.389, 4.352 Å; angles 90.00, 90.00, 90.00 degrees
Positions (direct):
Cl 0.500 0.000 0.000
Co 0.000 0.500 0.000
Be 0.000 0.000 0.000
Cl 0.000 0.000 0.500
Tl 0.500 0.500 0.500

M_tot in μB per cell: 2.0
ΔE_f (raw) in kJ/mol of formula units: 77


Entry 7:
Computed, not measured: an optimized crystal structure of InHgO3 at the PBE level of DFT.

Cell lengths 3.485, 5.608, 7.437 Å; angles 90.00, 103.55, 90.00 degrees
Positions (direct):
O 0.539 0.250 0.077
In 0.694 0.250 0.388
In 0.306 0.750 0.612
Hg 0.943 0.250 0.885
O 0.179 0.500 0.358
O 0.821 0.500 0.642
O 0.179 0.000 0.358
O 0.461 0.750 0.923
Hg 0.057 0.750 0.115
O 0.821 0.000 0.642

M_tot in μB per cell: 2.1
ΔE_f (raw) in kJ/mol of formula units: -297


Entry 8:
Computed, not measured: an optimized crystal structure of Mg2Sc5TlRh2 at the PBE level of DFT.

Cell lengths 3.529, 11.200, 11.200 Å; angles 90.00, 90.00, 90.00 degrees
Positions (direct):
Sc 0.500 0.574 0.709
Rh 0.000 0.874 0.374
Mg 0.000 0.174 0.326
Rh 0.000 0.374 0.126
Sc 0.500 0.291 0.574
Sc 0.500 0.500 0.000
Sc 0.500 0.074 0.791
Sc 0.500 0.209 0.074
Sc 0.500 0.000 0.500
Mg 0.000 0.326 0.826
Tl 0.000 0.000 0.000
Sc 0.500 0.426 0.291
Rh 0.000 0.626 0.874
Sc 0.500 0.709 0.426
Tl 0.000 0.500 0.500
Mg 0.000 0.826 0.674
Sc 0.500 0.926 0.209
Mg 0.000 0.674 0.174
Rh 0.000 0.126 0.626
Sc 0.500 0.791 0.926

Formation energy in eV/f.u.: -4.54
M_tot in μB per cell: 0.0


Entry 9:
Computed, not measured: an optimized crystal structure of LiCa3Y2Te6 at the PBE level of DFT.

Cell lengths 7.658, 7.658, 7.687 Å; angles 99.60, 99.60, 119.96 degrees
Positions (direct):
Te 0.590 0.920 0.760
Te 0.920 0.590 0.760
Ca 0.832 0.168 0.500
Ca 0.500 0.500 0.500
Ca 0.168 0.832 0.500
Te 0.250 0.250 0.758
Y 0.334 0.666 0.000
Te 0.750 0.750 0.242
Te 0.080 0.410 0.240
Te 0.410 0.080 0.240
Li 0.000 0.000 0.000
Y 0.666 0.334 0.000

M_tot in μB per cell: 0.0
ΔE_f (raw) in kJ/mol of formula units: -1703


Entry 10:
Computed, not measured: an optimized crystal structure of CsHf2AlCl at the PBE level of DFT.

Cell lengths 5.086, 8.338, 5.086 Å; angles 90.00, 90.00, 90.00 degrees
Positions (direct):
Hf 0.000 0.000 0.500
Cs 0.000 0.500 0.000
Al 0.000 0.000 0.000
Hf 0.500 0.000 0.000
Cl 0.500 0.500 0.500

M_tot in μB per cell: 1.2
ΔE_f (raw) in kJ/mol of formula units: 350


Entry 11:
Computed, not measured: an optimized crystal structure of LiPm6Sn2 at the PBE level of DFT.

Cell lengths 5.156, 7.612, 9.026 Å; angles 114.94, 106.41, 90.00 degrees
Positions (direct):
Sn 0.666 0.667 0.333
Li 0.000 0.000 0.000
Pm 0.837 0.084 0.673
Pm 0.500 0.246 0.000
Pm 0.163 0.916 0.327
Sn 0.334 0.333 0.667
Pm 0.837 0.589 0.673
Pm 0.163 0.411 0.327
Pm 0.500 0.754 0.000

Formation energy in eV/f.u.: -0.90
M_tot in μB per cell: 0.0


Entry 12:
Computed, not measured: an optimized crystal structure of AlRuPt2 at the PBE level of DFT.

Cell lengths 8.768, 8.768, 8.768 Å; angles 18.48, 18.48, 18.48 degrees
Positions (direct):
Pt 0.005 0.005 0.005
Pt 0.495 0.495 0.495
Al 0.750 0.750 0.750
Ru 0.250 0.250 0.250

Formation energy in eV/f.u.: -1.34
M_tot in μB per cell: 0.0


Copy entry 2 word for word.
Computed, not measured: an optimized crystal structure of AlSb2Se4 at the PBE level of DFT.

Cell lengths 7.512, 6.922, 8.618 Å; angles 90.00, 104.62, 90.00 degrees
Positions (direct):
Sb 0.651 0.750 0.546
Al 0.695 0.250 0.786
Se 0.528 0.493 0.285
Al 0.305 0.750 0.214
Sb 0.349 0.250 0.454
Sb 0.145 0.250 0.917
Se 0.124 0.750 0.939
Se 0.472 0.507 0.715
Se 0.528 0.007 0.285
Se 0.077 0.750 0.366
Se 0.472 0.993 0.715
Sb 0.855 0.750 0.083
Se 0.876 0.250 0.061
Se 0.923 0.250 0.634

M_tot in μB per cell: 0.8
ΔE_f (raw) in kJ/mol of formula units: -223


What did the second record say?
Computed, not measured: an optimized crystal structure of AlSb2Se4 at the PBE level of DFT.

Cell lengths 7.512, 6.922, 8.618 Å; angles 90.00, 104.62, 90.00 degrees
Positions (direct):
Sb 0.651 0.750 0.546
Al 0.695 0.250 0.786
Se 0.528 0.493 0.285
Al 0.305 0.750 0.214
Sb 0.349 0.250 0.454
Sb 0.145 0.250 0.917
Se 0.124 0.750 0.939
Se 0.472 0.507 0.715
Se 0.528 0.007 0.285
Se 0.077 0.750 0.366
Se 0.472 0.993 0.715
Sb 0.855 0.750 0.083
Se 0.876 0.250 0.061
Se 0.923 0.250 0.634

M_tot in μB per cell: 0.8
ΔE_f (raw) in kJ/mol of formula units: -223


Q: Which formula does entry 10 have?
A: CsHf2AlCl


Q: Look up the M_tot of the fourth one.
A: 0.0 μB per cell